U5Pa3N12, relaxed, DFT PBE-GGA; Fermi-level density of states = 20.819 states/eV/f.u.; crystal system = cubic; formation energy without anion corrections = -1.235 eV per atom
1.0
-6.720 6.720 6.720
6.720 -6.720 6.720
6.720 6.720 -6.720
U Pa N
20 12 48
direct
0.000 0.000 0.000
0.000 0.000 0.500
0.000 0.500 0.000
0.000 0.500 0.500
0.125 0.750 0.875
0.125 0.875 0.250
0.250 0.125 0.875
0.250 0.625 0.375
0.375 0.250 0.625
0.375 0.625 0.750
0.500 0.000 0.000
0.500 0.000 0.500
0.500 0.500 0.000
0.500 0.500 0.500
0.625 0.375 0.250
0.625 0.750 0.375
0.750 0.375 0.625
0.750 0.875 0.125
0.875 0.125 0.750
0.875 0.250 0.125
0.125 0.250 0.375
0.125 0.375 0.750
0.250 0.375 0.125
0.250 0.875 0.625
0.375 0.125 0.250
0.375 0.750 0.125
0.625 0.250 0.875
0.625 0.875 0.750
0.750 0.125 0.375
0.750 0.625 0.875
0.875 0.625 0.250
0.875 0.750 0.625
0.047 0.217 0.128
0.047 0.330 0.918
0.082 0.628 0.411
0.082 0.953 0.670
0.089 0.717 0.670
0.089 0.872 0.418
0.128 0.047 0.217
0.128 0.582 0.911
0.170 0.217 0.589
0.170 0.453 0.582
0.217 0.128 0.047
0.217 0.589 0.170
0.283 0.330 0.911
0.283 0.453 0.372
0.330 0.911 0.283
0.330 0.918 0.047
0.372 0.283 0.453
0.372 0.589 0.918
0.411 0.082 0.628
0.411 0.830 0.783
0.418 0.089 0.872
0.418 0.830 0.547
0.453 0.372 0.283
0.453 0.582 0.170
0.547 0.418 0.830
0.547 0.628 0.717
0.582 0.170 0.453
0.582 0.911 0.128
0.589 0.170 0.217
0.589 0.918 0.372
0.628 0.411 0.082
0.628 0.717 0.547
0.670 0.082 0.953
0.670 0.089 0.717
0.717 0.547 0.628
0.717 0.670 0.089
0.783 0.411 0.830
0.783 0.872 0.953
0.830 0.547 0.418
0.830 0.783 0.411
0.872 0.418 0.089
0.872 0.953 0.783
0.911 0.128 0.582
0.911 0.283 0.330
0.918 0.047 0.330
0.918 0.372 0.589
0.953 0.670 0.082
0.953 0.783 0.872

***

HfHgN, relaxed, DFT PBE-GGA; Fermi-level density of states = 1.113 states/eV/f.u.; crystal system = orthorhombic; formation energy without anion corrections = -0.041 eV per atom
1.0
3.359 0.000 0.000
0.000 22.660 0.000
0.000 0.000 3.860
Hf Hg N
4 4 4
direct
0.000 0.109 0.250
0.000 0.891 0.750
0.500 0.391 0.750
0.500 0.609 0.250
0.000 0.207 0.750
0.000 0.793 0.250
0.500 0.293 0.250
0.500 0.707 0.750
0.000 0.434 0.750
0.000 0.566 0.250
0.500 0.066 0.250
0.500 0.934 0.750

***

TePdSeI2, relaxed, DFT PBE-GGA; Fermi-level density of states = 6.218 states/eV/f.u.; crystal system = tetragonal; formation energy without anion corrections = 0.429 eV per atom; distance to the lowest polymorph of the same formula = 0 meV per atom
1.0
5.370 0.000 0.000
0.000 5.370 0.000
0.000 0.000 5.366
Te Pd Se I
1 1 1 2
direct
0.000 0.000 0.000
0.000 0.000 0.500
0.500 0.500 0.000
0.000 0.500 0.500
0.500 0.000 0.500